Entry 1:
Here is crystalline NbFeSn2N at its relaxed geometry from Alexandria via LeMat-Bulk. Energies are from PBEsol.

Calculated values
**Crystal system**: tetragonal
**ΔE_f (raw)**: 43 kJ/mol of atoms

a = 3.3014 Å, b = 5.1934 Å, c = 5.1934 Å
α = 90.00°, β = 90.00°, γ = 90.00°
Atoms (fractional coordinates):
1 Nb 0.5000 0.5000 0.5000
2 N 0.5000 0.0000 0.0000
3 Sn 0.0000 0.0000 0.5000
4 Sn 0.0000 0.5000 0.0000
5 Fe 0.0000 0.0000 0.0000

=====

Entry 2:
Here is crystalline TcTe2As at its relaxed geometry from Alexandria via LeMat-Bulk. Energies are from PBEsol.

Calculated values
**Crystal system**: monoclinic
**ΔE_f (raw)**: 25 kJ/mol of atoms

a = 3.3252 Å, b = 3.3169 Å, c = 9.1294 Å
α = 100.83°, β = 90.00°, γ = 120.08°
Atoms (fractional coordinates):
1 As 0.5000 0.0000 0.0000
2 Te 0.7397 0.4794 0.7128
3 Te 0.2603 0.5206 0.2872
4 Tc 0.0000 0.0000 0.5000

=====

Entry 3:
Here is crystalline SrLa2Cd at its relaxed geometry from Alexandria via LeMat-Bulk. Energies are from PBEsol.

Calculated values
**Crystal system**: orthorhombic
**Energy of formation from the pure elements**: -0.10 eV per atom

a = 3.7400 Å, b = 5.7114 Å, c = 7.1911 Å
α = 113.40°, β = 105.07°, γ = 90.00°
Atoms (fractional coordinates):
1 Sr 0.0000 0.5000 0.0000
2 La 0.7854 0.7854 0.5709
3 La 0.2146 0.2146 0.4291
4 Cd 0.5000 0.0000 0.0000

=====

Entry 4:
Here is crystalline TlCuAs2Pt at its relaxed geometry from Alexandria via LeMat-Bulk. Energies are from PBEsol.

Calculated values
**Crystal system**: tetragonal
**Energy of formation from the pure elements**: 0.77 eV per atom

a = 4.8539 Å, b = 4.8539 Å, c = 5.1839 Å
α = 90.00°, β = 90.00°, γ = 90.00°
Atoms (fractional coordinates):
1 Tl 0.0000 0.0000 0.5000
2 Cu 0.5000 0.5000 0.5000
3 As 0.0000 0.5000 0.0000
4 As 0.5000 0.0000 0.0000
5 Pt 0.0000 0.0000 0.0000

=====

Entry 5:
Here is crystalline Li3Mg at its relaxed geometry from Alexandria via LeMat-Bulk. Energies are from PBEsol.

Calculated values
**Crystal system**: tetragonal
**Energy of formation from the pure elements**: -0.03 eV per atom

a = 3.4033 Å, b = 3.4033 Å, c = 6.8186 Å
α = 90.00°, β = 90.00°, γ = 90.00°
Atoms (fractional coordinates):
1 Mg 0.5000 0.5000 0.5000
2 Li 0.0000 0.0000 0.7547
3 Li 0.0000 0.0000 0.2453
4 Li 0.5000 0.5000 0.0000

=====

Entry 6:
Here is crystalline BeAsP at its relaxed geometry from Alexandria via LeMat-Bulk. Energies are from PBEsol.

Calculated values
**Crystal system**: cubic
**Energy of formation from the pure elements**: 0.71 eV per atom

a = 4.1302 Å, b = 4.1302 Å, c = 4.1302 Å
α = 60.00°, β = 60.00°, γ = 60.00°
Atoms (fractional coordinates):
1 P 0.5000 0.5000 0.5000
2 As 0.2500 0.2500 0.2500
3 Be 0.0000 0.0000 0.0000

=====

Entry 7:
Here is crystalline Rb2MgGaSi at its relaxed geometry from Alexandria via LeMat-Bulk. Energies are from PBEsol.

Calculated values
**Crystal system**: tetragonal
**ΔE_f (raw)**: 36 kJ/mol of atoms

a = 4.6975 Å, b = 6.6683 Å, c = 6.6683 Å
α = 90.00°, β = 90.00°, γ = 90.00°
Atoms (fractional coordinates):
1 Mg 0.5000 0.5000 0.5000
2 Si 0.5000 0.0000 0.0000
3 Ga 0.0000 0.0000 0.0000
4 Rb 0.0000 0.0000 0.5000
5 Rb 0.0000 0.5000 0.0000

=====

Entry 8:
Here is crystalline CsBaPt2S at its relaxed geometry from Alexandria via LeMat-Bulk. Energies are from PBEsol.

Calculated values
**Crystal system**: tetragonal
**ΔE_f (raw)**: -12 kJ/mol of atoms

a = 4.7260 Å, b = 4.7260 Å, c = 5.6860 Å
α = 90.00°, β = 90.00°, γ = 90.00°
Atoms (fractional coordinates):
1 Cs 0.5000 0.5000 0.5000
2 S 0.0000 0.0000 0.0000
3 Ba 0.0000 0.0000 0.5000
4 Pt 0.0000 0.5000 0.0000
5 Pt 0.5000 0.0000 0.0000

=====

Entry 9:
Here is crystalline LiTl3Cu at its relaxed geometry from Alexandria via LeMat-Bulk. Energies are from PBEsol.

Calculated values
**Crystal system**: cubic
**Energy of formation from the pure elements**: 0.48 eV per atom

a = 4.9611 Å, b = 4.9611 Å, c = 4.9611 Å
α = 90.00°, β = 90.00°, γ = 90.00°
Atoms (fractional coordinates):
1 Tl 0.0000 0.5000 0.0000
2 Tl 0.0000 0.0000 0.5000
3 Tl 0.5000 0.0000 0.0000
4 Cu 0.5000 0.5000 0.5000
5 Li 0.0000 0.0000 0.0000

=====

Entry 10:
Here is crystalline NiPt2Pb at its relaxed geometry from Alexandria via LeMat-Bulk. Energies are from PBEsol.

Calculated values
**Crystal system**: orthorhombic
**Energy of formation from the pure elements**: 0.13 eV per atom

a = 2.9564 Å, b = 3.6824 Å, c = 5.9576 Å
α = 90.00°, β = 90.00°, γ = 90.00°
Atoms (fractional coordinates):
1 Ni 0.0000 0.0000 0.4629
2 Pb 0.5000 0.5000 0.7413
3 Pt 0.0000 0.0000 0.0230
4 Pt 0.5000 0.5000 0.2728

=====

Entry 11:
Here is crystalline ZnFe2Si at its relaxed geometry from Alexandria via LeMat-Bulk. Energies are from PBEsol.

Calculated values
**Crystal system**: tetragonal
**ΔE_f (raw)**: -25 kJ/mol of atoms

a = 2.7608 Å, b = 2.7593 Å, c = 5.7339 Å
α = 90.00°, β = 90.00°, γ = 90.00°
Atoms (fractional coordinates):
1 Fe 0.0000 0.0000 0.7749
2 Fe 0.0000 0.0000 0.2251
3 Si 0.5000 0.5000 0.0000
4 Zn 0.5000 0.5000 0.5000

=====

Entry 12:
Here is crystalline MgIrRh2 at its relaxed geometry from Alexandria via LeMat-Bulk. Energies are from PBEsol.

Calculated values
**Crystal system**: orthorhombic
**Energy of formation from the pure elements**: -0.10 eV per atom

a = 2.7291 Å, b = 3.8450 Å, c = 5.4145 Å
α = 90.00°, β = 90.00°, γ = 90.00°
Atoms (fractional coordinates):
1 Ir 0.0000 0.0000 0.4878
2 Mg 0.5000 0.5000 0.7551
3 Rh 0.0000 0.0000 0.0007
4 Rh 0.5000 0.5000 0.2564

=====

Entry 13:
Here is crystalline MgAg4 at its relaxed geometry from Alexandria via LeMat-Bulk. Energies are from PBEsol.

Calculated values
**Crystal system**: orthorhombic
**Energy of formation from the pure elements**: -0.11 eV per atom

a = 2.9678 Å, b = 3.9553 Å, c = 7.6326 Å
α = 105.02°, β = 101.21°, γ = 90.00°
Atoms (fractional coordinates):
1 Mg 0.5000 0.5000 0.0000
2 Ag 0.8999 0.8999 0.7998
3 Ag 0.2997 0.2997 0.5994
4 Ag 0.7003 0.7003 0.4006
5 Ag 0.1001 0.1001 0.2002

=====

Entry 14:
Here is crystalline CrBiI2O at its relaxed geometry from Alexandria via LeMat-Bulk. Energies are from PBEsol.

Calculated values
**Crystal system**: tetragonal
**ΔE_f (raw)**: 23 kJ/mol of atoms

a = 4.2585 Å, b = 6.1207 Å, c = 6.1207 Å
α = 90.00°, β = 90.00°, γ = 90.00°
Atoms (fractional coordinates):
1 I 0.0000 0.0000 0.5000
2 I 0.0000 0.5000 0.0000
3 Cr 0.5000 0.5000 0.5000
4 Bi 0.0000 0.0000 0.0000
5 O 0.5000 0.0000 0.0000

=====

Entry 15:
Here is crystalline La7Y at its relaxed geometry from Alexandria via LeMat-Bulk. Energies are from PBEsol.

Calculated values
**Crystal system**: cubic
**Energy of formation from the pure elements**: 0.00 eV per atom

a = 7.2208 Å, b = 7.2208 Å, c = 7.2208 Å
α = 60.00°, β = 60.00°, γ = 60.00°
Atoms (fractional coordinates):
1 Y 0.0000 0.0000 0.0000
2 La 0.5000 0.5000 0.0000
3 La 0.0000 0.5000 0.0000
4 La 0.0000 0.5000 0.5000
5 La 0.0000 0.0000 0.5000
6 La 0.5000 0.0000 0.5000
7 La 0.5000 0.0000 0.0000
8 La 0.5000 0.5000 0.5000

=====

Entry 16:
Here is crystalline ZnReSi2 at its relaxed geometry from Alexandria via LeMat-Bulk. Energies are from PBEsol.

Calculated values
**Crystal system**: tetragonal
**ΔE_f (raw)**: -2 kJ/mol of atoms

a = 3.1711 Å, b = 3.1711 Å, c = 5.3048 Å
α = 90.00°, β = 90.00°, γ = 90.00°
Atoms (fractional coordinates):
1 Re 0.5000 0.5000 0.5000
2 Si 0.0000 0.0000 0.7506
3 Si 0.0000 0.0000 0.2494
4 Zn 0.5000 0.5000 0.0000

=====

Entry 17:
Here is crystalline MnInFe2 at its relaxed geometry from Alexandria via LeMat-Bulk. Energies are from PBEsol.

Calculated values
**Crystal system**: orthorhombic
**Energy of formation from the pure elements**: 0.26 eV per atom

a = 3.1889 Å, b = 4.1577 Å, c = 4.8171 Å
α = 115.57°, β = 109.33°, γ = 90.00°
Atoms (fractional coordinates):
1 Fe 0.0105 0.0105 0.0211
2 Fe 0.7313 0.2313 0.4626
3 In 0.4947 0.4947 0.9893
4 Mn 0.2635 0.7635 0.5270

=====

Entry 18:
Here is crystalline Ta2CoNi at its relaxed geometry from Alexandria via LeMat-Bulk. Energies are from PBEsol.

Calculated values
**Crystal system**: trigonal
**Energy of formation from the pure elements**: 0.17 eV per atom
**E above lowest polymorph**: 25.3 kJ per mole of atoms

a = 2.8040 Å, b = 2.8040 Å, c = 8.5463 Å
α = 80.56°, β = 80.56°, γ = 60.00°
Atoms (fractional coordinates):
1 Ni 0.0000 0.0000 0.0000
2 Co 0.5000 0.5000 0.5000
3 Ta 0.2491 0.2491 0.2526
4 Ta 0.7509 0.7509 0.7474

=====

Entry 19:
Here is crystalline BeAg2GeOs at its relaxed geometry from Alexandria via LeMat-Bulk. Energies are from PBEsol.

Calculated values
**Crystal system**: tetragonal
**Energy of formation from the pure elements**: 1.50 eV per atom

a = 4.5725 Å, b = 5.0227 Å, c = 5.0227 Å
α = 90.00°, β = 90.00°, γ = 90.00°
Atoms (fractional coordinates):
1 Be 0.5000 0.5000 0.5000
2 Ge 0.5000 0.0000 0.0000
3 Os 0.0000 0.0000 0.0000
4 Ag 0.0000 0.0000 0.5000
5 Ag 0.0000 0.5000 0.0000

=====

Entry 20:
Here is crystalline CoSiTc2 at its relaxed geometry from Alexandria via LeMat-Bulk. Energies are from PBEsol.

Calculated values
**Crystal system**: orthorhombic
**ΔE_f (raw)**: -27 kJ/mol of atoms

a = 2.7035 Å, b = 3.8855 Å, c = 4.9095 Å
α = 90.00°, β = 105.98°, γ = 90.00°
Atoms (fractional coordinates):
1 Si 0.5615 0.5000 0.1231
2 Co 0.6822 0.0000 0.3644
3 Tc 0.9442 0.0000 0.8884
4 Tc 0.3003 0.5000 0.6005